(1)
SbOs2Pb PBE optimized geometry; energy above the lowest structure with this stoichiometry = 10.6 kJ/mol of atoms; formation energy (no corrections) = 0.5793 eV/atom
1.0
4.280 -1.513 0.000
4.280 1.513 0.000
-0.642 0.000 7.137
Sb Os Pb
1 2 1
Cartesian
0.000 0.000 0.000
1.810 0.000 5.662
4.171 0.000 4.774
6.574 0.000 3.014

(2)
SbOs2Pb PBE optimized geometry; energy above the lowest structure with this stoichiometry = 54.7 kJ/mol of atoms; formation energy (no corrections) = 1.0363 eV/atom
1.0
3.066 0.000 0.000
0.000 4.263 0.000
-0.635 0.000 6.386
Sb Os Pb
1 2 1
Cartesian
0.000 0.000 0.000
0.905 2.132 1.164
1.526 2.132 5.221
1.215 0.000 3.193

(3)
SbOs2Pb PBE optimized geometry; energy above the lowest structure with this stoichiometry = 60.9 kJ/mol of atoms; formation energy (no corrections) = 1.1001 eV/atom
1.0
-1.600 2.675 4.552
1.600 -2.675 4.552
1.600 2.675 -4.552
Sb Os Pb
1 2 1
Cartesian
0.000 0.000 0.000
1.600 0.000 2.078
0.000 2.675 2.474
0.000 0.000 4.552

(4)
Sb12Os4Pb PBE optimized geometry; formation energy (no corrections) = 0.0227 eV/atom
1.0
-4.729 4.729 4.729
4.729 -4.729 4.729
4.729 4.729 -4.729
Sb Os Pb
12 4 1
Cartesian
3.181 1.478 0.000
6.277 1.478 0.000
4.729 -1.548 3.251
3.251 4.729 -1.548
1.478 0.000 3.181
0.000 3.181 1.478
4.729 1.548 3.251
3.251 4.729 1.548
1.478 0.000 6.277
0.000 6.277 1.478
-1.548 3.251 4.729
1.548 3.251 4.729
2.364 2.364 -2.364
2.364 -2.364 2.364
-2.364 2.364 2.364
2.364 2.364 2.364
0.000 0.000 0.000

(5)
SbOs2Pb PBE optimized geometry; energy above the lowest structure with this stoichiometry = 62.8 kJ/mol of atoms; formation energy (no corrections) = 1.1198 eV/atom
1.0
-2.145 2.145 4.105
2.145 -2.145 4.105
2.145 2.145 -4.105
Sb Os Pb
1 2 1
Cartesian
0.000 0.000 0.000
2.145 0.000 2.053
0.000 0.000 4.105
0.000 2.145 2.053

(6)
SbOs2Pb PBE optimized geometry; energy above the lowest structure with this stoichiometry = 62.2 kJ/mol of atoms; formation energy (no corrections) = 1.1136 eV/atom
1.0
1.622 -2.715 0.000
1.622 2.715 0.000
0.000 0.000 8.823
Sb Os Pb
1 2 1
Cartesian
0.000 0.000 0.000
1.622 0.000 2.065
1.622 0.000 6.758
0.000 0.000 4.411

no.,total magnetization (μB/atom),V (Å³ per atom),D(E_F) (states/eV/f.u.)
1,0.00,23.1,2.40
2,0.00,20.9,3.56
3,0.00,19.5,2.72
4,0.00,24.9,19.39
5,0.00,18.9,5.38
6,0.00,19.4,4.38